A plane-wave DFT calculation with PBE was carried out for crystalline Ce2PmPt3 at its relaxed geometry.

Computed properties:
E above lowest polymorph   0.0 kJ per mole of atoms

Lattice parameters (Å, degrees): 8.2998 11.7295 24.8475 90.00 90.00 90.00
Closest atoms and distances in Å follow each position.
Space group Fddd (No. 70, origin choice 2)
Inequivalent atoms, fractional coordinates:
Ce (0.1250, 0.1250, 0.0413) x16  6 Pt 2.89-2.93
Ce (0.1250, 0.1250, 0.3757) x16  6 Pt 2.90-2.93
Pm (0.1250, 0.1250, 0.5417) x16  6 Pt 2.97-2.98
Pt (0.1184, 0.3750, 0.3750) x16  4 Ce 2.90-2.93, 2 Pm 2.97
Pt (0.1213, 0.3717, 0.2071) x32  4 Ce 2.89-2.93, 2 Pm 2.97-2.98



A plane-wave DFT calculation with PBE was carried out for crystalline Ce2PmPt at its relaxed geometry.

Computed properties:
E above lowest polymorph   9.6 kJ per mole of atoms

Lattice parameters (Å, degrees): 3.7363 3.7363 7.7909 90.00 90.00 90.00
Closest atoms and distances in Å follow each position.
Space group P4/mmm (No. 123)
Inequivalent atoms, fractional coordinates:
Ce (0.0000, 0.0000, 0.1925) x2  1 Ce 3.00, 4 Pt 3.04
Pm (0.5000, 0.5000, 0.5000) x1  8 Ce 3.57, 4 Pm 3.74, 2 Pt 3.90
Pt (0.5000, 0.5000, 0.0000) x1  8 Ce 3.04



A plane-wave DFT calculation with PBE was carried out for crystalline Ce2Pm2Pt at its relaxed geometry.

Computed properties:
Uncorrected energy   -5.812 eV/atom

Lattice parameters (Å, degrees): 7.3673 12.1853 7.2522 90.00 116.56 90.00
Closest atoms and distances in Å follow each position.
Space group C2/m (No. 12)
Inequivalent atoms, fractional coordinates:
Ce (0.2252, 0.0000, 0.4229) x4  2 Ce 2.75-3.01
Ce (0.2308, 0.0000, 0.8046) x4  2 Ce 2.75-3.01, 2 Pt 3.01
Pm (0.0487, 0.2872, 0.7575) x8  1 Pt 2.85
Pt (0.0000, 0.1168, 0.0000) x4  2 Pm 2.85, 1 Pt 2.85, 4 Ce 3.01-3.10



A plane-wave DFT calculation with PBE was carried out for crystalline CePm2Pt2 at its relaxed geometry.

Computed properties:
E above lowest polymorph   1.7 kJ per mole of atoms

Lattice parameters (Å, degrees): 3.8970 28.1288 4.6979 90.00 90.00 90.00
Closest atoms and distances in Å follow each position.
Space group Cmcm (No. 63)
Inequivalent atoms, fractional coordinates:
Ce (0.0000, 0.1366, 0.2500) x4  5 Pt 2.85-3.10
Pm (0.0000, 0.2336, 0.7500) x4  2 Pt 2.92, 4 Pm 3.19
Pm (0.0000, 0.4490, 0.2500) x4  7 Pt 2.96-3.11
Pt (0.0000, 0.0352, 0.2500) x4  1 Ce 2.85, 2 Pt 3.07, 6 Pm 3.08-3.11
Pt (0.0000, 0.3439, 0.2500) x4  3 Pm 2.92-2.96, 4 Ce 3.10



A plane-wave DFT calculation with PBE was carried out for crystalline CePmPt at its relaxed geometry.

Computed properties:
E above lowest polymorph   10.9 kJ per mole of atoms

Lattice parameters (Å, degrees): 5.2727 10.8215 5.2235 90.00 90.00 90.00
Closest atoms and distances in Å follow each position.
Space group Cmcm (No. 63)
Inequivalent atoms, fractional coordinates:
Ce (0.0000, 0.1012, 0.2500) x4  4 Pt 3.07-3.09, 3 Pm 3.23-3.42, 2 Ce 3.41
Pm (0.0000, 0.3994, 0.2500) x4  4 Pt 3.07-3.09, 3 Ce 3.23-3.42, 2 Pm 3.40
Pt (0.0000, 0.2500, 0.7500) x4  4 Ce 3.07-3.09, 4 Pm 3.07-3.09



A plane-wave DFT calculation with PBE was carried out for crystalline CePmPt2 at its relaxed geometry.

Computed properties:
E above lowest polymorph   12.1 kJ per mole of atoms

Lattice parameters (Å, degrees): 7.1605 7.1605 7.1605 90.00 90.00 90.00
Closest atoms and distances in Å follow each position.
Space group Fm-3m (No. 225)
Inequivalent atoms, fractional coordinates:
Ce (0.0000, 0.0000, 0.0000) x4  8 Pt 3.10
Pm (0.0000, 0.0000, 0.5000) x4  8 Pt 3.10
Pt (0.2500, 0.2500, 0.2500) x8  4 Ce 3.10, 4 Pm 3.10



A plane-wave DFT calculation with PBE was carried out for crystalline Ce3PmPt4 at its relaxed geometry.

Computed properties:
E above lowest polymorph   0.0 kJ per mole of atoms

Lattice parameters (Å, degrees): 7.1867 8.2872 7.1707 90.00 109.47 90.00
Closest atoms and distances in Å follow each position.
Space group P2/c (No. 13)
Inequivalent atoms, fractional coordinates:
Ce (0.0000, 0.1254, 0.2500) x2  6 Pt 2.89-2.94
Ce (0.0000, 0.3750, 0.7500) x2  6 Pt 2.89-2.93
Ce (0.5000, 0.1254, 0.7500) x2  6 Pt 2.93
Pm (0.5000, 0.3747, 0.2500) x2  6 Pt 2.97
Pt (0.2433, 0.3717, 0.5004) x4  4 Ce 2.89-2.93, 2 Pm 2.97
Pt (0.2474, 0.1214, 0.9964) x4  5 Ce 2.89-2.94, 1 Pm 2.97



A plane-wave DFT calculation with PBE was carried out for crystalline Ce5PmPt5 at its relaxed geometry.

Computed properties:
Uncorrected energy   -6.791 eV/atom

Lattice parameters (Å, degrees): 13.0565 5.8350 8.3035 90.00 108.48 90.00
Closest atoms and distances in Å follow each position.
Space group C2/m (No. 12)
Inequivalent atoms, fractional coordinates:
Ce (0.0000, 0.0000, 0.0000) x2  4 Pt 2.88-2.90
Ce (0.1676, 0.5000, 0.8306) x4  5 Pt 2.86-2.92
Ce (0.1709, 0.5000, 0.3400) x4  5 Pt 2.91-2.94
Pm (0.0000, 0.0000, 0.5000) x2  6 Pt 2.92-2.99
Pt (0.0000, 0.5000, 0.5000) x2  2 Pm 2.92, 4 Ce 2.92-2.94
Pt (0.1663, 0.0000, 0.3259) x4  5 Ce 2.86-2.92, 1 Pm 2.97
Pt (0.1686, 0.0000, 0.8414) x4  5 Ce 2.88-2.94, 1 Pm 2.99



A plane-wave DFT calculation with PBE was carried out for crystalline Ce2PmPt at its relaxed geometry.

Computed properties:
E above lowest polymorph   0.0 kJ per mole of atoms

Lattice parameters (Å, degrees): 14.2323 10.1833 6.0663 90.00 90.00 90.00
Closest atoms and distances in Å follow each position.
Space group Pnma (No. 62)
Inequivalent atoms, fractional coordinates:
Ce (0.0352, 0.0485, 0.2476) x8  2 Pt 2.88-2.89
Ce (0.2129, 0.5536, 0.5622) x8  2 Pt 2.87
Pm (0.1054, 0.2500, 0.7635) x4  3 Pt 3.03-3.29
Pm (0.1411, 0.7500, 0.0478) x4  3 Pt 3.06-3.35
Pt (0.0690, 0.7500, 0.5228) x4  4 Ce 2.87-2.89, 2 Pm 3.03-3.06
Pt (0.1764, 0.2500, 0.2792) x4  4 Ce 2.87-2.88, 2 Pm 3.07-3.11



A plane-wave DFT calculation with PBE was carried out for crystalline Ce2PmPt at its relaxed geometry.

Computed properties:
E above lowest polymorph   31.7 kJ per mole of atoms

Lattice parameters (Å, degrees): 3.7267 3.7267 30.7332 90.00 90.00 120.00
Closest atoms and distances in Å follow each position.
Space group R-3m (No. 166, hexagonal axes)
Inequivalent atoms, fractional coordinates:
Ce (0.0000, 0.0000, 0.1051) x6  3 Pt 2.86
Pm (0.0000, 0.0000, 0.0000) x3  2 Ce 3.23
Pt (0.0000, 0.0000, 0.5000) x3  6 Ce 2.86



A plane-wave DFT calculation with PBE was carried out for crystalline CePmPt3 at its relaxed geometry.

Computed properties:
E above lowest polymorph   1.1 kJ per mole of atoms

Lattice parameters (Å, degrees): 7.1374 7.8926 7.7957 90.00 90.00 90.00
Closest atoms and distances in Å follow each position.
Space group Pnnm (No. 58)
Inequivalent atoms, fractional coordinates:
Ce (0.2145, 0.1373, 0.0000) x4  8 Pt 2.86-3.07
Pm (0.2096, 0.1378, 0.5000) x4  8 Pt 2.87-3.09
Pt (0.0000, 0.5000, 0.2591) x4  4 Pt 2.94-2.95, 2 Ce 2.98, 2 Pm 3.09
Pt (0.1187, 0.8560, 0.2498) x8  3 Pt 2.84-2.95, 3 Ce 2.86-3.07, 3 Pm 2.87-3.05



A plane-wave DFT calculation with PBE was carried out for crystalline CePmPt2 at its relaxed geometry.

Computed properties:
E above lowest polymorph   11.3 kJ per mole of atoms

Lattice parameters (Å, degrees): 3.5622 3.5622 7.2193 90.00 90.00 90.00
Closest atoms and distances in Å follow each position.
Space group P4/mmm (No. 123)
Inequivalent atoms, fractional coordinates:
Ce (0.0000, 0.0000, 0.0000) x1  8 Pt 3.07
Pm (0.0000, 0.0000, 0.5000) x1  8 Pt 3.13
Pt (0.5000, 0.5000, 0.2423) x2  4 Ce 3.07, 4 Pm 3.13



no.,size of the total moment (μB/atom),D(E_F) (states/eV/f.u.)
1,0.145,9.7
2,0.188,9.7
3,0.297,10.9
4,0.124,8.1
5,0.136,4.6
6,0.214,8.1
7,0.174,13.9
8,0.332,31.2
9,0.271,10.1
10,0.579,10.2
11,0.068,5.5
12,0.218,7.4